Record 1
An optimized crystal structure of AcH6Au2. Source: the Alexandria database, functional PBE.

Summary:
* crystal system: orthorhombic
* space group: Fdd2 (43)
* E_tot: -63.197 eV per cell

a b c (Å): 6.8062 6.8062 6.8729
angles (deg): 103.45 103.45 122.02
Closest atoms and distances in Å follow each position.
Fractional coordinates of all 18 atoms:
Ac: 0.4807 0.9807 0.5000  8 H 2.42-2.60
Ac: 0.2307 0.2307 0.0000  8 H 2.42-2.60
H: 0.4371 0.5926 0.3586  1 Au 1.74
H: 0.2341 0.0785 0.6414  1 Au 1.74
H: 0.8426 0.1871 0.8586  1 Au 1.74
H: 0.3285 0.9841 0.1414  1 Au 1.74
H: 0.1842 0.5904 0.1132  2 Au 1.90-1.96, 1 H 2.10
H: 0.4772 0.0710 0.8868  2 Au 1.90-1.96, 1 H 2.10
H: 0.8404 0.9342 0.6132  2 Au 1.90-1.96, 1 H 2.10
H: 0.3210 0.2272 0.3868  2 Au 1.90-1.96, 1 H 2.10
H: 0.8283 0.5506 0.7255  1 Au 1.66
H: 0.8251 0.1028 0.2745  1 Au 1.66
H: 0.8006 0.5783 0.2255  1 Au 1.66
H: 0.3528 0.5751 0.7745  1 Au 1.66
Au: 0.6419 0.5796 0.5508  2 H 1.66-1.74
Au: 0.0288 0.0911 0.4492  2 H 1.66-1.74
Au: 0.8296 0.3919 0.0508  2 H 1.66-1.74
Au: 0.3411 0.7788 0.9492  2 H 1.66-1.74

***

Record 2
An optimized crystal structure of AcH12Au6. Source: the Alexandria database, functional PBE.

Summary:
* crystal system: trigonal
* space group: R-3m (166)
* E_tot: -63.106 eV per cell

a b c (Å): 6.2777 6.2777 6.2777
angles (deg): 99.52 99.52 99.52
Closest atoms and distances in Å follow each position.
Fractional coordinates of all 19 atoms:
Ac: 0.0000 0.0000 0.0000  12 H 2.69-2.93
H: 0.3733 0.1152 0.3732  2 Au 1.80
H: 0.1152 0.3732 0.3733  2 Au 1.80
H: 0.3732 0.3733 0.1152  2 Au 1.80
H: 0.6267 0.8848 0.6268  2 Au 1.80
H: 0.8848 0.6268 0.6267  2 Au 1.80
H: 0.6268 0.6267 0.8848  2 Au 1.80
H: 0.2809 0.0001 0.7190  2 Au 1.81
H: 0.2810 0.7191 0.9999  2 Au 1.81
H: 0.9999 0.2810 0.7191  2 Au 1.81
H: 0.7191 0.9999 0.2810  2 Au 1.81
H: 0.7190 0.2809 0.0001  2 Au 1.81
H: 0.0001 0.7190 0.2809  2 Au 1.81
Au: 0.1915 0.1915 0.5535  4 H 1.80-1.81
Au: 0.8085 0.4465 0.8085  4 H 1.80-1.81
Au: 0.4465 0.8085 0.8085  4 H 1.80-1.81
Au: 0.8085 0.8085 0.4465  4 H 1.80-1.81
Au: 0.1915 0.5535 0.1915  4 H 1.80-1.81
Au: 0.5535 0.1915 0.1915  4 H 1.80-1.81

***

Record 3
An optimized crystal structure of AcHAu. Source: the Alexandria database, functional PBE.

Summary:
* crystal system: monoclinic
* space group: P2_1/m (11)
* distance to the lowest polymorph of the same formula: 0 meV/atom

a b c (Å): 4.2359 4.3595 7.1509
angles (deg): 90.00 103.12 90.00
Closest atoms and distances in Å follow each position.
Fractional coordinates of all 6 atoms:
Ac: 0.7970 0.2911 0.5583  4 H 2.53-2.57
Ac: 0.4478 0.7911 0.9540  4 H 2.53-2.57
H: 0.3729 0.2911 0.7590  4 Ac 2.53-2.57
H: 0.8720 0.7911 0.7533  4 Ac 2.53-2.57
Au: 0.0182 0.2911 0.1265  2 Au 2.87
Au: 0.2266 0.7911 0.3858  2 Au 2.87

***

Record 4
An optimized crystal structure of Ac2HAu. Source: the Alexandria database, functional PBE.

Summary:
* crystal system: tetragonal
* space group: P4/mmm (123)
* distance to the lowest polymorph of the same formula: 205 meV/atom

a b c (Å): 3.7067 3.7067 7.6319
angles (deg): 90.00 90.00 90.00
Closest atoms and distances in Å follow each position.
Fractional coordinates of all 4 atoms:
H: 0.5000 0.5000 0.0000  8 Ac 3.20
Ac: 0.0000 0.0000 0.7604  4 H 3.20, 4 Au 3.29
Ac: 0.0000 0.0000 0.2396  4 H 3.20, 4 Au 3.29
Au: 0.5000 0.5000 0.5000  8 Ac 3.29

***

Record 5
An optimized crystal structure of AcH7Au4. Source: the Alexandria database, functional PBE.

Summary:
* crystal system: triclinic
* space group: P-1 (2)
* E_tot: -41.147 eV per cell

a b c (Å): 5.1914 7.3028 5.1014
angles (deg): 80.45 59.36 75.05
Closest atoms and distances in Å follow each position.
Fractional coordinates of all 12 atoms:
Ac: 0.0000 0.0000 0.0000  8 H 2.60-2.91
H: 0.1970 0.3432 0.9770  2 Au 1.83
H: 0.8030 0.6568 0.0230  2 Au 1.83
H: 0.4265 0.7102 0.7060  2 Au 1.77-1.82
H: 0.5735 0.2898 0.2940  2 Au 1.77-1.82
H: 0.8878 0.2916 0.6663  2 Au 1.77-1.82
H: 0.5000 0.0000 0.0000  4 Au 2.27-2.29
H: 0.1122 0.7084 0.3337  2 Au 1.77-1.82
Au: 0.2328 0.2477 0.3150  3 H 1.77-1.83
Au: 0.7672 0.7523 0.6850  3 H 1.77-1.83
Au: 0.5645 0.2506 0.6507  3 H 1.77-1.83
Au: 0.4355 0.7494 0.3493  3 H 1.77-1.83

***

Record 6
An optimized crystal structure of AcH5Au. Source: the Alexandria database, functional PBE.

Summary:
* crystal system: orthorhombic
* space group: Immm (71)
* E_tot: -51.053 eV per cell

a b c (Å): 4.8651 4.8651 8.7439
angles (deg): 63.27 63.27 62.38
Closest atoms and distances in Å follow each position.
Fractional coordinates of all 14 atoms:
Ac: 0.4999 0.5001 0.7500  14 H 2.52-2.75
Ac: 0.5001 0.4999 0.2500  14 H 2.52-2.75
H: 0.0986 0.5682 0.5834  1 Au 1.78
H: 0.4318 0.9012 0.4167  1 Au 1.78
H: 0.5682 0.0986 0.0834  1 Au 1.78
H: 0.0000 0.0000 0.7500  2 Au 2.19
H: 0.0988 0.5682 0.0833  1 Au 1.78
H: 0.9012 0.4318 0.9167  1 Au 1.78
H: 0.0000 0.0000 0.2500  2 Au 2.19
H: 0.4318 0.9014 0.9166  1 Au 1.78
H: 0.5682 0.0988 0.5833  1 Au 1.78
H: 0.9014 0.4318 0.4166  1 Au 1.78
Au: 0.0000 0.0000 0.0000  4 H 1.78
Au: 0.0000 0.0000 0.5000  4 H 1.78

***

- What is the formula in the first record?
  AcH6Au2